The following is a PBE calculation of a relaxed Pr3Bi2Sb crystal, from Alexandria.

The structure in CIF format:
```
data_Pr3Bi2Sb
_chemical_formula_sum 'Pr6 Bi4 Sb2'
_space_group_name_H-M_alt 'I m m m'
_space_group_IT_number 71
_space_group_name_Hall '-I 2 2'
_cell_length_a 4.615
_cell_length_b 6.518
_cell_length_c 13.844
_cell_angle_alpha 90.00
_cell_angle_beta 90.00
_cell_angle_gamma 90.00
loop_
_atom_site_label
_atom_site_type_symbol
_atom_site_fract_x
_atom_site_fract_y
_atom_site_fract_z
Pr1 Pr 0.000 0.000 0.000
Pr2 Pr 0.000 0.000 0.337
Bi1 Bi 0.000 0.500 0.332
Sb1 Sb 0.000 0.500 0.000
```

Results
Crystal system: orthorhombic
Energy: -0.199 hartree per atom

---

The following is a PBE calculation of a relaxed Cr2NiRh crystal, from Alexandria.

The structure in CIF format:
```
data_Cr2NiRh
_chemical_formula_sum 'Cr2 Ni1 Rh1'
_space_group_name_H-M_alt 'P m m m'
_space_group_IT_number 47
_cell_length_a 2.585
_cell_length_b 3.689
_cell_length_c 5.080
_cell_angle_alpha 90.00
_cell_angle_beta 90.00
_cell_angle_gamma 90.00
loop_
_space_group_symop_operation_xyz
'x,y,z'
'-x,-y,-z'
'-x,-y,z'
'x,y,-z'
'x,-y,-z'
'-x,y,z'
'-x,y,-z'
'x,-y,z'
loop_
_atom_site_label
_atom_site_type_symbol
_atom_site_fract_x
_atom_site_fract_y
_atom_site_fract_z
Cr1 Cr 0.000 0.000 0.236
Ni1 Ni 0.500 0.500 0.000
Rh1 Rh 0.500 0.500 0.500
```

Results
Formation enthalpy at 0 K: 0.013 eV per atom
Crystal system: orthorhombic

---

The following is a PBE calculation of a relaxed Pu3In2Au3 crystal, from Alexandria.

The structure in CIF format:
```
data_Pu3In2Au3
_chemical_formula_sum 'Pu6 In4 Au6'
_space_group_name_H-M_alt 'I m m m'
_space_group_IT_number 71
_space_group_name_Hall '-I 2 2'
_cell_length_a 4.140
_cell_length_b 4.828
_cell_length_c 19.075
_cell_angle_alpha 90.00
_cell_angle_beta 90.00
_cell_angle_gamma 90.00
loop_
_atom_site_label
_atom_site_type_symbol
_atom_site_fract_x
_atom_site_fract_y
_atom_site_fract_z
Pu1 Pu 0.000 0.000 0.000
Pu2 Pu 0.000 0.500 0.117
In1 In 0.000 0.000 0.243
Au1 Au 0.000 0.000 0.500
Au2 Au 0.000 0.500 0.368
```

Results
Formation enthalpy at 0 K: -0.292 eV per atom
Crystal system: orthorhombic